# YPb3W

A PBEsol-optimized structure of YPb3W (SCAN, Alexandria via LeMat-Bulk).

Results
Its density of states at the Fermi level is 3.136 states/eV per cell. Its total energy is -316.8 eV per cell. As for the volume: 35.681 Å³ per atom. As for the formation enthalpy at 0 K: 1.6222 eV per atom.

Cell and atoms, written as CIF:
```
data_YPb3W
_symmetry_space_group_name_H-M 'P m -3 m'
_symmetry_Int_Tables_number 221
_symmetry_space_group_name_Hall '-P 4 2 3'
_cell_length_a 5.629
_cell_length_b 5.629
_cell_length_c 5.629
_cell_angle_alpha 90.00
_cell_angle_beta 90.00
_cell_angle_gamma 90.00
loop_
_atom_site_label
_atom_site_type_symbol
_atom_site_fract_x
_atom_site_fract_y
_atom_site_fract_z
Y1 Y 0.000 0.000 0.000
Pb1 Pb 0.000 0.000 0.500
W1 W 0.500 0.500 0.500
```

***

# ZnPb2W

A PBEsol-optimized structure of ZnPb2W (SCAN, Alexandria via LeMat-Bulk).

Results
Its density of states at the Fermi level is 3.782 states/eV per cell. Its total energy is -463.3 eV per cell. As for the volume: 20.791 Å³ per atom. As for the formation enthalpy at 0 K: 0.7762 eV per atom.

Cell and atoms, written as CIF:
```
data_ZnPb2W
_symmetry_space_group_name_H-M 'C 1 m 1'
_symmetry_Int_Tables_number 8
_cell_length_a 11.116
_cell_length_b 2.939
_cell_length_c 5.285
_cell_angle_alpha 90.00
_cell_angle_beta 105.55
_cell_angle_gamma 90.00
loop_
_symmetry_equiv_pos_as_xyz
'x,y,z'
'x,-y,z'
'x+1/2,y+1/2,z'
'x+1/2,-y+1/2,z'
loop_
_atom_site_label
_atom_site_type_symbol
_atom_site_fract_x
_atom_site_fract_y
_atom_site_fract_z
Zn1 Zn 0.000 0.000 0.000
Pb1 Pb 0.242 0.000 0.844
Pb2 Pb 0.440 0.000 0.473
W1 W 0.180 0.500 0.312
```

***

# Zn2PbW2

A PBEsol-optimized structure of Zn2PbW2 (SCAN, Alexandria via LeMat-Bulk).

Results
Its density of states at the Fermi level is 8.355 states/eV per cell. Its total energy is -474.8 eV per cell. As for the volume: 17.440 Å³ per atom. As for the formation enthalpy at 0 K: 0.9615 eV per atom.

Cell and atoms, written as CIF:
```
data_Zn2PbW2
_symmetry_space_group_name_H-M 'I 4/m m m'
_symmetry_Int_Tables_number 139
_symmetry_space_group_name_Hall '-I 4 2'
_cell_length_a 3.664
_cell_length_b 3.664
_cell_length_c 12.988
_cell_angle_alpha 90.00
_cell_angle_beta 90.00
_cell_angle_gamma 90.00
loop_
_atom_site_label
_atom_site_type_symbol
_atom_site_fract_x
_atom_site_fract_y
_atom_site_fract_z
Zn1 Zn 0.000 0.500 0.250
Pb1 Pb 0.000 0.000 0.000
W1 W 0.000 0.000 0.402
```

***

# ZnPb2W

A PBEsol-optimized structure of ZnPb2W (SCAN, Alexandria via LeMat-Bulk).

Results
Its density of states at the Fermi level is 2.411 states/eV per cell. Its total energy is -230.6 eV per cell. As for the volume: 20.778 Å³ per atom. As for the formation enthalpy at 0 K: 1.0514 eV per atom.

Cell and atoms, written as CIF:
```
data_ZnPb2W
_symmetry_space_group_name_H-M 'P m m m'
_symmetry_Int_Tables_number 47
_cell_length_a 3.218
_cell_length_b 4.799
_cell_length_c 5.382
_cell_angle_alpha 90.00
_cell_angle_beta 90.00
_cell_angle_gamma 90.00
loop_
_symmetry_equiv_pos_as_xyz
'x,y,z'
'-x,-y,-z'
'-x,-y,z'
'x,y,-z'
'x,-y,-z'
'-x,y,z'
'-x,y,-z'
'x,-y,z'
loop_
_atom_site_label
_atom_site_type_symbol
_atom_site_fract_x
_atom_site_fract_y
_atom_site_fract_z
Zn1 Zn 0.000 0.000 0.000
Pb1 Pb 0.000 0.500 0.500
Pb2 Pb 0.500 0.500 0.000
W1 W 0.500 0.000 0.500
```

***

# ZnPb2W

A PBEsol-optimized structure of ZnPb2W (SCAN, Alexandria via LeMat-Bulk).

Results
Its density of states at the Fermi level is 5.471 states/eV per cell. Its total energy is -461.5 eV per cell. As for the volume: 20.429 Å³ per atom. As for the formation enthalpy at 0 K: 1.0073 eV per atom.

Cell and atoms, written as CIF:
```
data_ZnPb2W
_symmetry_space_group_name_H-M 'I 4/m m m'
_symmetry_Int_Tables_number 139
_symmetry_space_group_name_Hall '-I 4 2'
_cell_length_a 4.408
_cell_length_b 4.408
_cell_length_c 8.410
_cell_angle_alpha 90.00
_cell_angle_beta 90.00
_cell_angle_gamma 90.00
loop_
_atom_site_label
_atom_site_type_symbol
_atom_site_fract_x
_atom_site_fract_y
_atom_site_fract_z
Zn1 Zn 0.000 0.000 0.000
Pb1 Pb 0.000 0.500 0.250
W1 W 0.000 0.000 0.500
```

***

# ZrPbW

A PBEsol-optimized structure of ZrPbW (SCAN, Alexandria via LeMat-Bulk).

Results
Its density of states at the Fermi level is 19.560 states/eV per cell. Its total energy is -694.3 eV per cell. As for the volume: 23.554 Å³ per atom. As for the formation enthalpy at 0 K: 0.8635 eV per atom.

Cell and atoms, written as CIF:
```
data_ZrPbW
_symmetry_space_group_name_H-M 'F -4 3 m'
_symmetry_Int_Tables_number 216
_symmetry_space_group_name_Hall 'F -4 2 3'
_cell_length_a 6.563
_cell_length_b 6.563
_cell_length_c 6.563
_cell_angle_alpha 90.00
_cell_angle_beta 90.00
_cell_angle_gamma 90.00
loop_
_atom_site_label
_atom_site_type_symbol
_atom_site_fract_x
_atom_site_fract_y
_atom_site_fract_z
Zr1 Zr 0.000 0.000 0.000
Pb1 Pb 0.000 0.000 0.500
W1 W 0.250 0.250 0.250
```

***

# YPb3

A PBEsol-optimized structure of YPb3 (SCAN, Alexandria via LeMat-Bulk).

Results
Its density of states at the Fermi level is 7.408 states/eV per cell. Its total energy is -1027.4 eV per cell. As for the volume: 28.258 Å³ per atom. As for the formation enthalpy at 0 K: -0.4162 eV per atom.

Cell and atoms, written as CIF:
```
data_YPb3
_symmetry_space_group_name_H-M 'P n m a'
_symmetry_Int_Tables_number 62
_cell_length_a 6.604
_cell_length_b 10.992
_cell_length_c 6.228
_cell_angle_alpha 90.00
_cell_angle_beta 90.00
_cell_angle_gamma 90.00
loop_
_symmetry_equiv_pos_as_xyz
'x,y,z'
'-x,-y,-z'
'-x+1/2,-y,z+1/2'
'x+1/2,y,-z+1/2'
'x+1/2,-y+1/2,-z+1/2'
'-x+1/2,y+1/2,z+1/2'
'-x,y+1/2,-z'
'x,-y+1/2,z'
loop_
_atom_site_label
_atom_site_type_symbol
_atom_site_fract_x
_atom_site_fract_y
_atom_site_fract_z
Y1 Y 0.128 0.250 0.030
Pb1 Pb 0.119 0.250 0.532
Pb2 Pb 0.156 0.517 0.775
```

***

# Y7Pb

A PBEsol-optimized structure of Y7Pb (SCAN, Alexandria via LeMat-Bulk).

Results
Its density of states at the Fermi level is 21.657 states/eV per cell. Its total energy is -1087.7 eV per cell. As for the volume: 29.361 Å³ per atom. As for the formation enthalpy at 0 K: -0.1543 eV per atom.

Cell and atoms, written as CIF:
```
data_Y7Pb
_symmetry_space_group_name_H-M 'F m -3 m'
_symmetry_Int_Tables_number 225
_symmetry_space_group_name_Hall '-F 4 2 3'
_cell_length_a 9.794
_cell_length_b 9.794
_cell_length_c 9.794
_cell_angle_alpha 90.00
_cell_angle_beta 90.00
_cell_angle_gamma 90.00
loop_
_atom_site_label
_atom_site_type_symbol
_atom_site_fract_x
_atom_site_fract_y
_atom_site_fract_z
Y1 Y 0.000 0.000 0.000
Y2 Y 0.000 0.250 0.250
Pb1 Pb 0.000 0.000 0.500
```

***

# YPb3

A PBEsol-optimized structure of YPb3 (SCAN, Alexandria via LeMat-Bulk).

Results
Its density of states at the Fermi level is 2.537 states/eV per cell. Its total energy is -256.6 eV per cell. As for the volume: 27.975 Å³ per atom. As for the formation enthalpy at 0 K: -0.3488 eV per atom.

Cell and atoms, written as CIF:
```
data_YPb3
_symmetry_space_group_name_H-M 'P m m m'
_symmetry_Int_Tables_number 47
_cell_length_a 3.655
_cell_length_b 4.653
_cell_length_c 6.578
_cell_angle_alpha 90.00
_cell_angle_beta 90.00
_cell_angle_gamma 90.00
loop_
_symmetry_equiv_pos_as_xyz
'x,y,z'
'-x,-y,-z'
'-x,-y,z'
'x,y,-z'
'x,-y,-z'
'-x,y,z'
'-x,y,-z'
'x,-y,z'
loop_
_atom_site_label
_atom_site_type_symbol
_atom_site_fract_x
_atom_site_fract_y
_atom_site_fract_z
Y1 Y 0.000 0.000 0.000
Pb1 Pb 0.000 0.000 0.500
Pb2 Pb 0.500 0.500 0.243
```

***

# Y2Pb

A PBEsol-optimized structure of Y2Pb (SCAN, Alexandria via LeMat-Bulk).

Results
Its density of states at the Fermi level is 7.324 states/eV per cell. Its total energy is -400.6 eV per cell. As for the volume: 28.618 Å³ per atom. As for the formation enthalpy at 0 K: -0.6916 eV per atom.

Cell and atoms, written as CIF:
```
data_Y2Pb
_symmetry_space_group_name_H-M 'P -6 2 m'
_symmetry_Int_Tables_number 189
_symmetry_space_group_name_Hall 'P -6 -2'
_cell_length_a 8.3349
_cell_length_b 8.3349
_cell_length_c 4.2811
_cell_angle_alpha 90.00
_cell_angle_beta 90.00
_cell_angle_gamma 120.00
loop_
_atom_site_label
_atom_site_type_symbol
_atom_site_fract_x
_atom_site_fract_y
_atom_site_fract_z
Y1 Y 0.0000 0.4011 0.0000
Y2 Y 0.0000 0.7346 0.5000
Pb1 Pb 0.0000 0.0000 0.0000
Pb2 Pb 0.3333 0.6667 0.5000
```

***

# Y5Pb

A PBEsol-optimized structure of Y5Pb (SCAN, Alexandria via LeMat-Bulk).

Results
Its density of states at the Fermi level is 12.815 states/eV per cell. Its total energy is -433.0 eV per cell. As for the volume: 29.301 Å³ per atom. As for the formation enthalpy at 0 K: -0.2530 eV per atom.

Cell and atoms, written as CIF:
```
data_Y5Pb
_symmetry_space_group_name_H-M 'C 1 m 1'
_symmetry_Int_Tables_number 8
_cell_length_a 12.559
_cell_length_b 3.561
_cell_length_c 8.137
_cell_angle_alpha 90.00
_cell_angle_beta 104.94
_cell_angle_gamma 90.00
loop_
_symmetry_equiv_pos_as_xyz
'x,y,z'
'x,-y,z'
'x+1/2,y+1/2,z'
'x+1/2,-y+1/2,z'
loop_
_atom_site_label
_atom_site_type_symbol
_atom_site_fract_x
_atom_site_fract_y
_atom_site_fract_z
Y1 Y 0.000 0.000 0.000
Y2 Y 0.031 0.000 0.612
Y3 Y 0.142 0.500 0.338
Y4 Y 0.311 0.000 0.683
Y5 Y 0.364 0.000 0.262
Pb1 Pb 0.209 0.500 0.948
```

***

# Y3Pb

A PBEsol-optimized structure of Y3Pb (SCAN, Alexandria via LeMat-Bulk).

Results
Its density of states at the Fermi level is 17.858 states/eV per cell. Its total energy is -640.8 eV per cell. As for the volume: 27.652 Å³ per atom. As for the formation enthalpy at 0 K: -0.2213 eV per atom.

Cell and atoms, written as CIF:
```
data_Y3Pb
_symmetry_space_group_name_H-M 'F m -3 m'
_symmetry_Int_Tables_number 225
_symmetry_space_group_name_Hall '-F 4 2 3'
_cell_length_a 7.620
_cell_length_b 7.620
_cell_length_c 7.620
_cell_angle_alpha 90.00
_cell_angle_beta 90.00
_cell_angle_gamma 90.00
loop_
_atom_site_label
_atom_site_type_symbol
_atom_site_fract_x
_atom_site_fract_y
_atom_site_fract_z
Y1 Y 0.000 0.000 0.000
Y2 Y 0.250 0.250 0.250
Pb1 Pb 0.000 0.000 0.500
```